[1]
# AlAsBr2N (GGA-PBEsol, relaxed)
data_AlAsBr2N
_chemical_formula_sum 'Al1 As1 Br2 N1'
_space_group_name_H-M_alt 'P 4/m m m'
_space_group_IT_number 123
_space_group_name_Hall '-P 4 2'
_cell_length_a 4.988
_cell_length_b 4.988
_cell_length_c 5.071
_cell_angle_alpha 90.00
_cell_angle_beta 90.00
_cell_angle_gamma 90.00
loop_
_atom_site_label
_atom_site_type_symbol
_atom_site_fract_x
_atom_site_fract_y
_atom_site_fract_z
Al1 Al 0.000 0.000 0.000
As1 As 0.000 0.000 0.500
Br1 Br 0.000 0.500 0.000
N1 N 0.500 0.500 0.500
# DFT total energy   -3.34 eV per atom
# Raw formation energy   4.75 eV per formula unit
# Total moment   1.1 μB/f.u.

=====

[2]
# NaAlAsBr2 (GGA-PBEsol, relaxed)
data_NaAlAsBr2
_chemical_formula_sum 'Na1 Al1 As1 Br2'
_space_group_name_H-M_alt 'P 4/m m m'
_space_group_IT_number 123
_space_group_name_Hall '-P 4 2'
_cell_length_a 5.274
_cell_length_b 5.274
_cell_length_c 4.817
_cell_angle_alpha 90.00
_cell_angle_beta 90.00
_cell_angle_gamma 90.00
loop_
_atom_site_label
_atom_site_type_symbol
_atom_site_fract_x
_atom_site_fract_y
_atom_site_fract_z
Na1 Na 0.000 0.000 0.000
Al1 Al 0.500 0.500 0.500
As1 As 0.500 0.500 0.000
Br1 Br 0.000 0.500 0.500
# DFT total energy   -3.30 eV per atom
# Raw formation energy   -2.17 eV per formula unit
# Total moment   1.0 μB/f.u.

=====

[3]
# AlAsPBr2 (GGA-PBEsol, relaxed)
data_AlAsPBr2
_chemical_formula_sum 'Al1 As1 P1 Br2'
_space_group_name_H-M_alt 'P 4/m m m'
_space_group_IT_number 123
_space_group_name_Hall '-P 4 2'
_cell_length_a 5.313
_cell_length_b 5.313
_cell_length_c 4.742
_cell_angle_alpha 90.00
_cell_angle_beta 90.00
_cell_angle_gamma 90.00
loop_
_atom_site_label
_atom_site_type_symbol
_atom_site_fract_x
_atom_site_fract_y
_atom_site_fract_z
Al1 Al 0.000 0.000 0.000
As1 As 0.500 0.500 0.500
P1 P 0.500 0.500 0.000
Br1 Br 0.000 0.500 0.500
# DFT total energy   -3.34 eV per atom
# Raw formation energy   2.05 eV per formula unit
# Total moment   0.4 μB/f.u.

=====

Question: Number 1 is which compound?
Answer: AlAsBr2N

=====

Copy entry 2 word for word.
# NaAlAsBr2 (GGA-PBEsol, relaxed)
data_NaAlAsBr2
_chemical_formula_sum 'Na1 Al1 As1 Br2'
_space_group_name_H-M_alt 'P 4/m m m'
_space_group_IT_number 123
_space_group_name_Hall '-P 4 2'
_cell_length_a 5.274
_cell_length_b 5.274
_cell_length_c 4.817
_cell_angle_alpha 90.00
_cell_angle_beta 90.00
_cell_angle_gamma 90.00
loop_
_atom_site_label
_atom_site_type_symbol
_atom_site_fract_x
_atom_site_fract_y
_atom_site_fract_z
Na1 Na 0.000 0.000 0.000
Al1 Al 0.500 0.500 0.500
As1 As 0.500 0.500 0.000
Br1 Br 0.000 0.500 0.500
# DFT total energy   -3.30 eV per atom
# Raw formation energy   -2.17 eV per formula unit
# Total moment   1.0 μB/f.u.